A geometry-optimized Pr5DySn4 structure. Source: Alexandria via LeMat-Bulk, functional PBE-GGA.

a b c (Å): 8.7913 8.7913 7.3141
angles (deg): 90.79 90.79 36.15
Last column: nearest neighbours and their distance in Å.
Fractional coordinates of all 10 atoms:
Pr 0.0000 0.0000 0.0000  6 Sn 3.32-3.45, 2 Dy 3.66
Pr 0.3326 0.3326 0.4929  5 Sn 3.20-3.41
Pr 0.3345 0.3345 0.0019  5 Sn 3.25-3.43, 1 Pr 3.59
Pr 0.6655 0.6655 0.9981  5 Sn 3.25-3.43, 1 Pr 3.59
Pr 0.6674 0.6674 0.5071  5 Sn 3.20-3.41
Dy 0.0000 0.0000 0.5000  6 Sn 3.25-3.39
Sn 0.1728 0.1728 0.7486  7 Pr 3.25-3.45, 1 Dy 3.39
Sn 0.4923 0.4923 0.7409  6 Pr 3.20-3.43, 2 Dy 3.25, 1 Sn 3.54
Sn 0.5077 0.5077 0.2591  6 Pr 3.20-3.43, 2 Dy 3.25, 1 Sn 3.54
Sn 0.8272 0.8272 0.2514  7 Pr 3.25-3.45, 1 Dy 3.39

Properties
Total DFT energy (no corrections), eV per atom: -5.00
Crystal system: monoclinic

A geometry-optimized PrDySn structure. Source: Alexandria via LeMat-Bulk, functional PBE-GGA.

a b c (Å): 4.6519 4.6519 11.1928
angles (deg): 90.00 90.00 120.00
Last column: nearest neighbours and their distance in Å.
Fractional coordinates of all 6 atoms:
Pr 0.0000 0.0000 0.2114  3 Sn 3.10
Pr 0.0000 0.0000 0.7886  3 Sn 3.10
Dy 0.3333 0.6667 0.0000  6 Pr 3.58, 2 Sn 3.91
Dy 0.6667 0.3333 0.5000  6 Sn 3.17
Sn 0.3333 0.6667 0.3494  3 Pr 3.10, 3 Dy 3.17, 1 Sn 3.37
Sn 0.3333 0.6667 0.6506  3 Pr 3.10, 3 Dy 3.17, 1 Sn 3.37

Properties
Total DFT energy (no corrections), eV per atom: -4.69
Crystal system: hexagonal

A geometry-optimized Pr2DySn structure. Source: Alexandria via LeMat-Bulk, functional PBE-GGA.

a b c (Å): 12.4660 12.4660 12.4660
angles (deg): 16.56 16.56 16.56
Last column: nearest neighbours and their distance in Å.
Fractional coordinates of all 4 atoms:
Pr 0.0874 0.0874 0.0874  1 Sn 3.22, 3 Dy 3.58, 6 Pr 3.59
Pr 0.9126 0.9126 0.9126  1 Sn 3.22, 3 Dy 3.58, 6 Pr 3.59
Dy 0.5000 0.5000 0.5000  6 Pr 3.58, 6 Dy 3.59
Sn 0.0000 0.0000 0.0000  2 Pr 3.22, 6 Sn 3.59

Properties
Total DFT energy (no corrections), eV per atom: -4.49
Crystal system: trigonal

A geometry-optimized Pr2DySn9 structure. Source: Alexandria via LeMat-Bulk, functional PBE-GGA.

a b c (Å): 4.7507 4.7507 14.4098
angles (deg): 90.00 90.00 90.00
Last column: nearest neighbours and their distance in Å.
Fractional coordinates of all 12 atoms:
Pr 0.0000 0.0000 0.1688  12 Sn 3.36-3.41
Pr 0.0000 0.0000 0.8312  12 Sn 3.36-3.41
Dy 0.0000 0.0000 0.5000  12 Sn 3.33-3.36
Sn 0.0000 0.5000 0.0000  8 Sn 3.36-3.41, 4 Pr 3.40
Sn 0.0000 0.5000 0.3383  8 Sn 3.33-3.40, 2 Dy 3.33, 2 Pr 3.41
Sn 0.0000 0.5000 0.6617  8 Sn 3.33-3.40, 2 Dy 3.33, 2 Pr 3.41
Sn 0.5000 0.0000 0.0000  8 Sn 3.36-3.41, 4 Pr 3.40
Sn 0.5000 0.0000 0.3383  8 Sn 3.33-3.40, 2 Dy 3.33, 2 Pr 3.41
Sn 0.5000 0.0000 0.6617  8 Sn 3.33-3.40, 2 Dy 3.33, 2 Pr 3.41
Sn 0.5000 0.5000 0.1694  4 Pr 3.36, 8 Sn 3.40-3.41
Sn 0.5000 0.5000 0.5000  8 Sn 3.33, 4 Dy 3.36
Sn 0.5000 0.5000 0.8306  4 Pr 3.36, 8 Sn 3.40-3.41

Properties
Total DFT energy (no corrections), eV per atom: -4.66
Crystal system: tetragonal

A geometry-optimized Pr3DySn2 structure. Source: Alexandria via LeMat-Bulk, functional PBE-GGA.

a b c (Å): 4.6721 4.6721 8.7805
angles (deg): 90.00 90.00 90.00
Last column: nearest neighbours and their distance in Å.
Fractional coordinates of all 6 atoms:
Pr 0.0000 0.0000 0.0000  4 Dy 3.30, 4 Sn 3.36
Pr 0.0000 0.5000 0.6500  5 Sn 3.29-3.37
Pr 0.5000 0.0000 0.3500  5 Sn 3.29-3.37
Dy 0.5000 0.5000 0.0000  4 Pr 3.30, 4 Sn 3.36
Sn 0.0000 0.5000 0.2754  7 Pr 3.29-3.37, 2 Dy 3.36
Sn 0.5000 0.0000 0.7246  7 Pr 3.29-3.37, 2 Dy 3.36

Properties
Total DFT energy (no corrections), eV per atom: -5.06
Crystal system: tetragonal

A geometry-optimized PrDy3Sn2 structure. Source: Alexandria via LeMat-Bulk, functional PBE-GGA.

a b c (Å): 9.3487 9.3487 9.5441
angles (deg): 112.93 112.93 28.58
Last column: nearest neighbours and their distance in Å.
Fractional coordinates of all 12 atoms:
Pr 0.1151 0.1151 0.1347  6 Sn 3.28-3.46, 1 Dy 3.58
Pr 0.8849 0.8849 0.8653  6 Sn 3.28-3.46, 1 Dy 3.58
Dy 0.0559 0.0559 0.6903  3 Sn 3.08-3.29, 3 Dy 3.35-3.37
Dy 0.3074 0.3074 0.1122  4 Sn 3.18-3.53, 4 Dy 3.26-3.35
Dy 0.3558 0.3558 0.5182  4 Sn 3.18-3.31
Dy 0.6442 0.6442 0.4818  4 Sn 3.18-3.31
Dy 0.6926 0.6926 0.8878  4 Sn 3.18-3.53, 4 Dy 3.26-3.35
Dy 0.9441 0.9441 0.3097  3 Sn 3.08-3.29, 3 Dy 3.35-3.37
Sn 0.2413 0.2413 0.7107  7 Dy 3.18-3.53, 2 Pr 3.34
Sn 0.4891 0.4891 0.1454  1 Sn 2.96, 4 Dy 3.08-3.31, 2 Pr 3.28
Sn 0.5109 0.5109 0.8546  1 Sn 2.96, 4 Dy 3.08-3.31, 2 Pr 3.28
Sn 0.7587 0.7587 0.2893  7 Dy 3.18-3.53, 2 Pr 3.34

Properties
Total DFT energy (no corrections), eV per atom: -4.94
Crystal system: monoclinic

A geometry-optimized Pr2DySn structure. Source: Alexandria via LeMat-Bulk, functional PBE-GGA.

a b c (Å): 4.3120 4.3120 6.7642
angles (deg): 90.00 90.00 90.00
Last column: nearest neighbours and their distance in Å.
Fractional coordinates of all 4 atoms:
Pr 0.0000 0.0000 0.2310  1 Pr 3.13, 4 Sn 3.43
Pr 0.0000 0.0000 0.7690  1 Pr 3.13, 4 Sn 3.43
Dy 0.5000 0.5000 0.5000  2 Sn 3.38, 8 Pr 3.55
Sn 0.5000 0.5000 0.0000  2 Dy 3.38, 8 Pr 3.43

Properties
Total DFT energy (no corrections), eV per atom: -4.90
Crystal system: tetragonal

A geometry-optimized Pr3DySn2 structure. Source: Alexandria via LeMat-Bulk, functional PBE-GGA.

a b c (Å): 9.9792 9.9792 9.9792
angles (deg): 159.69 145.94 39.98
Last column: nearest neighbours and their distance in Å.
Fractional coordinates of all 6 atoms:
Pr 0.0000 0.0000 0.0000  2 Dy 2.92
Pr 0.3222 0.8222 0.5000  5 Sn 3.16-3.44, 1 Dy 3.34, 2 Pr 3.52
Pr 0.6778 0.1778 0.5000  5 Sn 3.16-3.44, 1 Dy 3.34, 2 Pr 3.52
Dy 0.5000 0.0000 0.5000  2 Pr 2.92
Sn 0.1536 0.6536 0.5000  7 Pr 3.16-3.44, 2 Sn 3.52
Sn 0.8464 0.3464 0.5000  7 Pr 3.16-3.44, 2 Sn 3.52

Properties
Total DFT energy (no corrections), eV per atom: -4.61
Crystal system: orthorhombic

A geometry-optimized Pr4Dy3Sn4 structure. Source: Alexandria via LeMat-Bulk, functional PBE-GGA.

a b c (Å): 10.9427 10.9427 10.9427
angles (deg): 161.20 127.53 56.24
Last column: nearest neighbours and their distance in Å.
Fractional coordinates of all 11 atoms:
Pr 0.0123 0.8368 0.1755  4 Sn 3.31-3.34, 3 Pr 3.40-3.57
Pr 0.3387 0.1632 0.1755  4 Sn 3.31-3.34, 3 Pr 3.40-3.57
Pr 0.6613 0.8368 0.8245  4 Sn 3.31-3.34, 3 Pr 3.40-3.57
Pr 0.9877 0.1632 0.8245  4 Sn 3.31-3.34, 3 Pr 3.40-3.57
Dy 0.0000 0.5000 0.5000  4 Sn 3.24, 2 Dy 3.57
Dy 0.4103 0.4103 0.0000  6 Sn 3.12-3.28, 1 Dy 3.46
Dy 0.5897 0.5897 0.0000  6 Sn 3.12-3.28, 1 Dy 3.46
Sn 0.2778 0.7778 0.5000  2 Dy 3.12, 6 Pr 3.31-3.34
Sn 0.2789 0.0000 0.2789  6 Dy 3.24-3.28, 2 Pr 3.31, 2 Sn 3.57
Sn 0.7211 0.0000 0.7211  6 Dy 3.24-3.28, 2 Pr 3.31, 2 Sn 3.57
Sn 0.7222 0.2222 0.5000  2 Dy 3.12, 6 Pr 3.31-3.34

Properties
Total DFT energy (no corrections), eV per atom: -5.01
Crystal system: orthorhombic

A geometry-optimized PrDySn structure. Source: Alexandria via LeMat-Bulk, functional PBE-GGA.

a b c (Å): 9.0930 9.0930 9.0930
angles (deg): 158.59 158.59 30.46
Last column: nearest neighbours and their distance in Å.
Fractional coordinates of all 3 atoms:
Pr 0.0000 0.0000 0.0000  1 Sn 3.17, 4 Pr 3.38, 1 Dy 3.44
Dy 0.8038 0.8038 0.0000  4 Sn 3.22, 4 Dy 3.38, 1 Pr 3.44
Sn 0.1805 0.1805 0.0000  1 Pr 3.17, 4 Dy 3.22, 4 Sn 3.38

Properties
Total DFT energy (no corrections), eV per atom: -4.37
Crystal system: tetragonal

A geometry-optimized TbPrDySn structure. Source: Alexandria via LeMat-Bulk, functional PBE-GGA.

a b c (Å): 5.4889 5.4889 5.4889
angles (deg): 60.00 60.00 60.00
Last column: nearest neighbours and their distance in Å.
Fractional coordinates of all 4 atoms:
Tb 0.0000 0.0000 0.0000  4 Dy 3.36, 4 Pr 3.36
Pr 0.2500 0.2500 0.2500  4 Tb 3.36, 4 Sn 3.36
Dy 0.7500 0.7500 0.7500  4 Tb 3.36, 4 Sn 3.36
Sn 0.5000 0.5000 0.5000  4 Dy 3.36, 4 Pr 3.36

Properties
Total DFT energy (no corrections), eV per atom: -4.75
Crystal system: cubic

A geometry-optimized PrDySnTe structure. Source: Alexandria via LeMat-Bulk, functional PBE-GGA.

a b c (Å): 7.7859 7.7859 7.7859
angles (deg): 33.36 33.36 33.36
Last column: nearest neighbours and their distance in Å.
Fractional coordinates of all 4 atoms:
Pr 0.0000 0.0000 0.0000  3 Sn 3.16, 3 Te 3.27
Dy 0.4928 0.4928 0.4928  3 Sn 3.08, 3 Te 3.16
Sn 0.7497 0.7497 0.7497  3 Dy 3.08, 3 Pr 3.16
Te 0.2423 0.2423 0.2423  3 Dy 3.16, 3 Pr 3.27

Properties
Total DFT energy (no corrections), eV per atom: -5.21
Crystal system: trigonal

Question: Number 3 is which compound?
Answer: Pr2DySn

Question: Which of these has the highest total DFT energy (no corrections)?
Answer: number 10